# 1
10
Lattice="-1.329 0.570 -4.142 -8.642 -1.818 2.523 1.146 9.428 3.253" Properties=species:S:1:pos:R:3 comment="Pm4SnI5, optimized geometry, DFT PBE" sg=C2/m pbc="T T T"
Pm -1.154 3.170 -1.517
Pm -1.962 -0.394 0.575
Pm -7.671 5.011 3.151
Pm -6.862 8.575 1.058
Sn -0.665 0.285 -2.071
I -2.691 2.655 1.229
I -6.962 1.814 2.484
I -1.863 6.367 -0.850
I -4.986 -0.624 -0.810
I -6.133 5.526 0.405

***

# 2
10
Lattice="-3.106 -4.552 -1.067 2.467 -2.753 4.560 -6.725 7.856 0.829" Properties=species:S:1:pos:R:3 comment="PrPaSe3, optimized geometry, DFT PBE" e_above_lowest_polymorph_kj_per_mol_atoms=22.3 sg=C2/m pbc="T T T"
Pr -3.014 -1.566 0.691
Pr -4.350 2.117 3.631
Pa -6.795 1.050 0.534
Pa -0.570 -0.499 3.788
Se -7.974 1.232 3.193
Se 0.610 -0.681 1.129
Se -5.223 3.318 1.050
Se -2.142 -2.767 3.272
Se -2.220 1.080 1.855
Se -5.144 -0.529 2.467

***

# 3
30
Lattice="7.621 0.000 0.000 0.000 9.617 0.000 0.000 0.000 9.732" Properties=species:S:1:pos:R:3 comment="ThAg8Se6, optimized geometry, DFT PBE" sg=Pmn2_1 pbc="T T T"
Th 6.313 0.000 5.869
Th 1.308 4.808 1.003
Ag 3.237 0.000 9.285
Ag 4.383 4.808 4.419
Ag 7.256 8.131 1.126
Ag 0.364 6.294 5.992
Ag 0.364 3.323 5.992
Ag 7.256 1.485 1.126
Ag 2.947 7.284 7.105
Ag 4.674 7.141 2.240
Ag 4.674 2.476 2.240
Ag 2.947 2.332 7.105
Ag 5.865 7.066 8.377
Ag 1.756 7.359 3.512
Ag 1.756 2.258 3.512
Ag 5.865 2.551 8.377
Ag 2.877 0.000 5.051
Ag 4.744 4.808 0.185
Se 5.844 0.000 9.020
Se 1.777 4.808 4.155
Se 1.491 0.000 7.199
Se 6.130 4.808 2.333
Se 0.419 0.000 3.541
Se 7.201 4.808 8.407
Se 4.733 0.000 3.323
Se 2.888 4.808 8.189
Se 2.219 7.472 0.849
Se 5.401 6.953 5.715
Se 5.401 2.664 5.715
Se 2.219 2.144 0.849

***

# 4
5
Lattice="5.201 0.000 0.000 0.000 5.201 0.000 0.000 0.000 4.749" Properties=species:S:1:pos:R:3 comment="ZnRhSeBr2, optimized geometry, DFT PBE" e_above_lowest_polymorph_kj_per_mol_atoms=0.0 sg=P4/mmm pbc="T T T"
Zn 2.600 2.600 2.375
Rh 0.000 0.000 0.000
Se 0.000 0.000 2.375
Br 0.000 2.600 0.000
Br 2.600 0.000 0.000

***

The evaluated electronic total energy for the records listed, in turn: -4.234; -6.323; -3.719; -2.946 eV/atom.
The evaluated density of states at the Fermi level for the records listed, in turn: 0.484; 1.039; 0.105; 0.584 states/eV/atom.
The evaluated E_form (uncorrected) for the records listed, in turn: -1158; -1377; -310; 145 meV per atom.